Density functional theory data (PBE with a Hubbard U) for an optimized crystal structure of V3IO.

The raw total energy is -24.85 eV per cell. The calculation puts the energy above the most stable polymorph in this dataset at 0 meV/atom.

The structure belongs to space group Pm-3m (No. 221); the cell edges are 4.1646, 4.1646 and 4.1646 Å and the angles 90.00°, 90.00° and 90.00°. The distinct sites, in fractional coordinates, are V at (0.0000, 0.0000, 0.5000), I at (0.5000, 0.5000, 0.5000) and O at (0.0000, 0.0000, 0.0000).